1.
The following is a PBE calculation of an optimized crystal structure of Er2ZnHg, from the Alexandria database.

a b c (Å): 7.247 7.247 7.247
angles (deg): 90.00 90.00 90.00
Positions (direct):
Er 0.250 0.250 0.250
Er 0.250 0.250 0.750
Er 0.250 0.750 0.250
Er 0.250 0.750 0.750
Er 0.750 0.250 0.250
Er 0.750 0.250 0.750
Er 0.750 0.750 0.250
Er 0.750 0.750 0.750
Zn 0.000 0.000 0.000
Zn 0.000 0.500 0.500
Zn 0.500 0.000 0.500
Zn 0.500 0.500 0.000
Hg 0.000 0.000 0.500
Hg 0.000 0.500 0.000
Hg 0.500 0.000 0.000
Hg 0.500 0.500 0.500

Properties
- M_tot: 0.00 μB per formula unit
- Energy above the most stable polymorph in this dataset: 15 meV/atom
- ΔH_f (0 K): -0.400 eV/atom
- Electronic total energy: -3.076 eV per atom

2.
The following is a PBE calculation of an optimized crystal structure of CaIn2Te, from the Alexandria database.

a b c (Å): 6.244 12.237 4.392
angles (deg): 90.00 133.65 90.00
Positions (direct):
Ca 0.000 0.000 0.000
Ca 0.500 0.500 0.000
In 0.250 0.250 0.500
In 0.250 0.750 0.500
In 0.750 0.250 0.500
In 0.750 0.750 0.500
Te 0.000 0.500 0.000
Te 0.500 0.000 0.000

Properties
- M_tot: 0.00 μB per formula unit
- Electronic total energy: -3.247 eV per atom
- Formation energy from raw total energies: -0.59 eV per atom

3.
The following is a PBE calculation of an optimized crystal structure of KMgZr2Pd, from the Alexandria database.

a b c (Å): 5.209 5.209 5.260
angles (deg): 90.00 90.00 90.00
Positions (direct):
K 0.000 0.000 0.000
Mg 0.500 0.500 0.000
Zr 0.000 0.500 0.500
Zr 0.500 0.000 0.500
Pd 0.500 0.500 0.500

Properties
- M_tot: 0.00 μB per formula unit
- ΔH_f (0 K): 0.444 eV/atom
- Electronic total energy: -4.552 eV per atom

4.
The following is a PBE calculation of an optimized crystal structure of Er2Si2GeRh5, from the Alexandria database.

a b c (Å): 9.648 9.648 3.478
angles (deg): 90.00 90.00 90.00
Positions (direct):
Er 0.175 0.325 0.000
Er 0.325 0.825 0.000
Er 0.675 0.175 0.000
Er 0.825 0.675 0.000
Si 0.124 0.624 0.000
Si 0.376 0.124 0.000
Si 0.624 0.876 0.000
Si 0.876 0.376 0.000
Ge 0.000 0.000 0.000
Ge 0.500 0.500 0.000
Rh 0.000 0.500 0.500
Rh 0.069 0.789 0.500
Rh 0.211 0.069 0.500
Rh 0.289 0.569 0.500
Rh 0.431 0.289 0.500
Rh 0.500 0.000 0.500
Rh 0.569 0.711 0.500
Rh 0.711 0.431 0.500
Rh 0.789 0.931 0.500
Rh 0.931 0.211 0.500

Properties
- M_tot: 0.00 μB per formula unit
- Electronic total energy: -7.067 eV per atom
- Formation energy from raw total energies: -0.93 eV per atom